(1)
The following is a PBE calculation of a relaxed Ca8In2Si crystal, from the Alexandria database. Values from VASP.

formation energy without anion corrections	-0.27	eV/atom
theoretical density	2.75	g cm⁻³
VASP energy	-2.72	eV per atom
total magnetic moment	0.00	μB/atom
space group	Immm

```
&SYSTEM
  ibrav = 0, nat = 11, ntyp = 3
/
ATOMIC_SPECIES
In 114.82 In.upf
Ca 40.08 Ca.upf
Si 28.09 Si.upf
CELL_PARAMETERS angstrom
-3.035 -4.269 -1.771
3.288 -4.403 4.979
-6.171 6.269 4.095
ATOMIC_POSITIONS angstrom
In -5.379 -0.899 2.756
In -0.538 -1.503 4.548
Ca -2.274 -2.765 1.932
Ca -0.698 -4.875 4.319
Ca 0.817 -1.094 1.237
Ca -3.550 -3.160 5.071
Ca -3.643 0.362 5.373
Ca -5.220 2.473 2.986
Ca -6.734 -1.309 6.067
Ca -2.368 0.757 2.233
Si -1.517 -2.134 -0.885
```

---

(2)
The following is a PBE calculation of a relaxed CaIn2Si crystal, from the Alexandria database. Values from VASP.

formation energy without anion corrections	-0.15	eV/atom
theoretical density	5.25	g cm⁻³
VASP energy	-3.38	eV per atom
total magnetic moment	0.00	μB/atom
space group	P4/mmm

```
&SYSTEM
  ibrav = 0, nat = 4, ntyp = 3
/
ATOMIC_SPECIES
In 114.82 In.upf
Si 28.09 Si.upf
Ca 40.08 Ca.upf
CELL_PARAMETERS angstrom
-0.297 -2.322 3.800
-0.809 -3.717 -2.334
4.638 -0.894 -0.184
ATOMIC_POSITIONS angstrom
In -0.553 -3.019 0.733
In 0.000 0.000 0.000
Si 2.171 -1.608 1.808
Ca 1.915 -2.305 -1.259
```

---

(3)
The following is a PBE calculation of a relaxed CaInSi4 crystal, from the Alexandria database. Values from VASP.

formation energy without anion corrections	0.07	eV/atom
theoretical density	4.04	g cm⁻³
VASP energy	-4.34	eV per atom
total magnetic moment	0.00	μB/atom
space group	F-43m

```
&SYSTEM
  ibrav = 0, nat = 6, ntyp = 3
/
ATOMIC_SPECIES
Si 28.09 Si.upf
In 114.82 In.upf
Ca 40.08 Ca.upf
CELL_PARAMETERS angstrom
4.720 -2.417 0.890
0.298 -5.368 0.084
2.475 -2.618 -3.991
ATOMIC_POSITIONS angstrom
Si 2.957 -6.588 -1.088
Si 5.172 -5.110 -0.685
In 0.000 0.000 0.000
Si 2.808 -3.899 -1.131
Si 4.047 -5.210 -3.130
Ca 5.619 -7.803 -2.262
```

---

(4)
The following is a PBE calculation of a relaxed CaIn2Si crystal, from the Alexandria database. Values from VASP.

formation energy without anion corrections	-0.05	eV/atom
theoretical density	4.67	g cm⁻³
VASP energy	-3.28	eV per atom
total magnetic moment	0.00	μB/atom
space group	R-3m

```
&SYSTEM
  ibrav = 0, nat = 4, ntyp = 3
/
ATOMIC_SPECIES
In 114.82 In.upf
Si 28.09 Si.upf
Ca 40.08 Ca.upf
CELL_PARAMETERS angstrom
-0.568 -4.099 4.961
3.806 -3.547 3.830
1.656 -0.337 6.235
ATOMIC_POSITIONS angstrom
In 2.561 -4.176 7.862
Si 1.224 -1.995 3.757
In 4.781 -7.797 14.677
Ca 3.671 -5.986 11.270
```

---

(5)
The following is a PBE calculation of a relaxed CaIn2Si crystal, from the Alexandria database. Values from VASP.

formation energy without anion corrections	-0.02	eV/atom
theoretical density	4.91	g cm⁻³
VASP energy	-3.24	eV per atom
total magnetic moment	0.00	μB/atom
space group	C2/m

```
&SYSTEM
  ibrav = 0, nat = 4, ntyp = 3
/
ATOMIC_SPECIES
In 114.82 In.upf
Si 28.09 Si.upf
Ca 40.08 Ca.upf
CELL_PARAMETERS angstrom
6.407 -0.008 0.021
-3.414 5.421 0.021
0.945 1.709 2.914
ATOMIC_POSITIONS angstrom
In 0.000 0.000 0.000
Si 3.676 0.851 1.468
In 1.496 2.707 0.021
Ca -1.235 3.565 1.468
```

---

(6)
The following is a PBE calculation of a relaxed Ca6InSi2 crystal, from the Alexandria database. Values from VASP.

formation energy without anion corrections	-0.38	eV/atom
theoretical density	2.56	g cm⁻³
VASP energy	-3.23	eV per atom
total magnetic moment	0.19	μB/atom
space group	Immm

```
&SYSTEM
  ibrav = 0, nat = 18, ntyp = 3
/
ATOMIC_SPECIES
Ca 40.08 Ca.upf
Si 28.09 Si.upf
In 114.82 In.upf
CELL_PARAMETERS angstrom
1.334 8.159 -3.208
-3.985 -5.231 -5.949
-5.462 -0.080 6.986
ATOMIC_POSITIONS angstrom
Ca -7.183 -2.684 -2.108
Ca -5.444 -0.754 3.700
Ca -4.224 3.680 0.298
Ca -1.515 2.327 -1.883
Ca -3.889 -0.832 -2.469
Ca -0.152 5.225 -3.716
Si -2.385 0.868 -4.462
Ca -7.961 -2.377 1.545
Ca -2.669 3.602 -5.871
In -4.723 -2.656 0.518
In 0.000 0.000 0.000
Si -5.728 1.979 2.291
Ca -4.961 2.521 -3.188
Ca -6.598 0.521 -0.288
Si -1.461 2.859 1.337
Ca -0.930 5.532 -0.064
Ca -3.152 0.327 1.017
Si -2.667 5.220 2.441
```